No. 1
PBE Tb2Ho3Er5, optimized geometry; volume = 31.8 Å³/atom; E_form = 2.036 eV per formula unit; total magnetic moment = 0.0 μB per cell; SG = No. 15
1.0
5.270 -7.783 0.000
5.270 7.783 0.000
-5.248 0.000 7.753
Tb Ho Er
4 6 10
direct
0.015 0.269 0.047
0.269 0.015 0.547
0.731 0.985 0.453
0.985 0.731 0.953
0.022 0.978 0.750
0.222 0.466 0.451
0.466 0.222 0.951
0.534 0.778 0.049
0.778 0.534 0.549
0.978 0.022 0.250
0.143 0.388 0.778
0.230 0.770 0.750
0.274 0.726 0.250
0.388 0.143 0.278
0.473 0.527 0.250
0.527 0.473 0.750
0.612 0.857 0.722
0.726 0.274 0.750
0.770 0.230 0.250
0.857 0.612 0.222

No. 2
PBE CaWBr3, optimized geometry; volume = 28.7 Å³/atom; formation energy (no corrections) = 0.05 eV/atom; total magnetic moment = 2.5 μB per cell; SG = No. 221
1.0
5.234 0.000 0.000
0.000 5.234 0.000
0.000 0.000 5.234
Ca W Br
1 1 3
direct
0.000 0.000 0.000
0.500 0.500 0.500
0.000 0.500 0.500
0.500 0.000 0.500
0.500 0.500 0.000

No. 3
PBE LiAgMo2, optimized geometry; volume = 15.8 Å³/atom; E_form = 1.511 eV per formula unit; total magnetic moment = 0.0 μB per cell; SG = No. 12
1.0
2.556 -4.838 0.000
2.556 4.838 0.000
-0.640 0.000 2.553
Li Ag Mo
1 1 2
direct
0.000 0.000 0.000
0.500 0.500 0.000
0.000 0.500 0.500
0.500 0.000 0.500

No. 4
PBE PbBrCl2, optimized geometry; volume = 34.3 Å³/atom; formation energy (no corrections) = -0.65 eV/atom; total magnetic moment = 2.0 μB per cell; SG = No. 2
1.0
4.443 0.000 0.000
-1.907 7.825 0.000
-0.206 -2.520 7.890
Pb Br Cl
2 2 4
direct
0.244 0.428 0.213
0.756 0.572 0.787
0.307 0.103 0.309
0.693 0.897 0.691
0.177 0.358 0.591
0.349 0.699 0.027
0.651 0.301 0.973
0.823 0.642 0.409

No. 5
PBE ZrSc3In, optimized geometry; volume = 23.5 Å³/atom; E_form = -0.904 eV per formula unit; total magnetic moment = 0.8 μB per cell; SG = No. 12
1.0
8.640 -1.656 0.000
8.640 1.656 0.000
-2.066 0.000 8.206
Zr Sc In
2 6 2
direct
0.097 0.097 0.046
0.903 0.903 0.954
0.298 0.298 0.150
0.309 0.309 0.650
0.499 0.499 0.739
0.501 0.501 0.261
0.691 0.691 0.350
0.702 0.702 0.850
0.107 0.107 0.559
0.893 0.893 0.441

No. 6
PBE ZrInAsAu2, optimized geometry; volume = 29.8 Å³/atom; E_form = 1.248 eV per formula unit; total magnetic moment = 0.0 μB per cell; SG = No. 123
1.0
5.403 0.000 0.000
0.000 5.403 0.000
0.000 0.000 5.102
Zr In As Au
1 1 1 2
direct
0.000 0.000 0.000
0.500 0.500 0.500
0.000 0.000 0.500
0.000 0.500 0.000
0.500 0.000 0.000